This record from Alexandria via LeMat-Bulk describes crystalline SrAl2In at its relaxed geometry. The functional is PBE.

Values from the calculation:
DFT total energy   -2.759 eV per atom
Space-group type   R-3m

```
data_SrAl2In
_cell_length_a 8.870
_cell_length_b 8.870
_cell_length_c 8.870
_cell_angle_alpha 25.90
_cell_angle_beta 25.90
_cell_angle_gamma 25.90
_symmetry_space_group_name_H-M 'P 1'
_symmetry_Int_Tables_number 1
loop_
_symmetry_equiv_pos_as_xyz
'x,y,z'
loop_
_atom_site_label
_atom_site_type_symbol
_atom_site_fract_x
_atom_site_fract_y
_atom_site_fract_z
Sr1 Sr 0.000 0.000 0.000
Al1 Al 0.235 0.235 0.235
Al2 Al 0.765 0.765 0.765
In1 In 0.500 0.500 0.500
```